1.
# Ta2ZnAs PBE relaxed
data_Ta2ZnAs
_chemical_formula_sum 'Ta2 Zn1 As1'
_cell_length_a 2.829
_cell_length_b 2.829
_cell_length_c 9.767
_cell_angle_alpha 90.00
_cell_angle_beta 90.00
_cell_angle_gamma 90.00
_symmetry_space_group_name_H-M 'P 4 m m'
_symmetry_Int_Tables_number 99
loop_
_symmetry_equiv_pos_as_xyz
'x,y,z'
'-y,x,z'
'-x,-y,z'
'y,-x,z'
'-x,y,z'
'y,x,z'
'x,-y,z'
'-y,-x,z'
loop_
_atom_site_label
_atom_site_type_symbol
_atom_site_fract_x
_atom_site_fract_y
_atom_site_fract_z
Ta1 Ta 0.000 0.000 0.000
Ta2 Ta 0.500 0.500 0.243
Zn1 Zn 0.000 0.000 0.445
As1 As 0.500 0.500 0.792
# excess energy over the best structure of this formula in the dataset: 149 meV/atom

2.
# KCr2Te PBE relaxed
data_KCr2Te
_chemical_formula_sum 'K2 Cr4 Te2'
_cell_length_a 6.609
_cell_length_b 11.378
_cell_length_c 3.186
_cell_angle_alpha 90.00
_cell_angle_beta 118.63
_cell_angle_gamma 90.00
_symmetry_space_group_name_H-M 'C 1 2/m 1'
_symmetry_Int_Tables_number 12
loop_
_symmetry_equiv_pos_as_xyz
'x,y,z'
'-x,-y,-z'
'-x,y,-z'
'x,-y,z'
'x+1/2,y+1/2,z'
'-x+1/2,-y+1/2,-z'
'-x+1/2,y+1/2,-z'
'x+1/2,-y+1/2,z'
loop_
_atom_site_label
_atom_site_type_symbol
_atom_site_fract_x
_atom_site_fract_y
_atom_site_fract_z
K1 K 0.000 0.000 0.000
Cr1 Cr 0.250 0.250 0.000
Te1 Te 0.000 0.500 0.000
# E_form (uncorrected): 0.81 eV per atom

3.
# TlMoPOsRu PBE relaxed
data_TlMoPOsRu
_chemical_formula_sum 'Tl1 Mo1 P1 Os1 Ru1'
_cell_length_a 3.550
_cell_length_b 4.855
_cell_length_c 6.288
_cell_angle_alpha 69.32
_cell_angle_beta 73.68
_cell_angle_gamma 68.57
_symmetry_space_group_name_H-M 'P 1'
_symmetry_Int_Tables_number 1
loop_
_symmetry_equiv_pos_as_xyz
'x,y,z'
loop_
_atom_site_label
_atom_site_type_symbol
_atom_site_fract_x
_atom_site_fract_y
_atom_site_fract_z
Tl1 Tl 0.000 0.000 0.000
Mo1 Mo 0.679 0.129 0.510
P1 P 0.937 0.585 0.537
Os1 Os 0.205 0.345 0.242
Ru1 Ru 0.346 0.525 0.782
# excess energy over the best structure of this formula in the dataset: 175 meV/atom

4.
# La3NdYTm PBE relaxed
data_La3NdYTm
_chemical_formula_sum 'La6 Nd2 Y2 Tm2'
_cell_length_a 8.110
_cell_length_b 5.223
_cell_length_c 10.433
_cell_angle_alpha 90.00
_cell_angle_beta 108.86
_cell_angle_gamma 90.00
_symmetry_space_group_name_H-M 'P 1 21/m 1'
_symmetry_Int_Tables_number 11
loop_
_symmetry_equiv_pos_as_xyz
'x,y,z'
'-x,-y,-z'
'-x,y+1/2,-z'
'x,-y+1/2,z'
loop_
_atom_site_label
_atom_site_type_symbol
_atom_site_fract_x
_atom_site_fract_y
_atom_site_fract_z
La1 La 0.168 0.250 0.042
La2 La 0.171 0.250 0.542
La3 La 0.172 0.750 0.294
Nd1 Nd 0.170 0.750 0.791
Y1 Y 0.499 0.750 0.124
Tm1 Tm 0.498 0.750 0.625
# calculated total energy: -5.05 eV per atom

5.
# NaSnO2 PBE relaxed
data_NaSnO2
_chemical_formula_sum 'Na4 Sn4 O8'
_cell_length_a 5.809
_cell_length_b 5.809
_cell_length_c 5.809
_cell_angle_alpha 90.00
_cell_angle_beta 90.00
_cell_angle_gamma 90.00
_symmetry_space_group_name_H-M 'F m -3 m'
_symmetry_Int_Tables_number 225
_symmetry_space_group_name_Hall '-F 4 2 3'
loop_
_atom_site_label
_atom_site_type_symbol
_atom_site_fract_x
_atom_site_fract_y
_atom_site_fract_z
Na1 Na 0.000 0.000 0.000
Sn1 Sn 0.000 0.000 0.500
O1 O 0.250 0.250 0.250
# E_form (uncorrected): -0.93 eV per atom

6.
# SiSbP PBE relaxed
data_SiSbP
_chemical_formula_sum 'Si12 Sb12 P12'
_cell_length_a 19.033
_cell_length_b 4.651
_cell_length_c 11.939
_cell_angle_alpha 90.00
_cell_angle_beta 126.73
_cell_angle_gamma 90.00
_symmetry_space_group_name_H-M 'C 1 c 1'
_symmetry_Int_Tables_number 9
loop_
_symmetry_equiv_pos_as_xyz
'x,y,z'
'x,-y,z+1/2'
'x+1/2,y+1/2,z'
'x+1/2,-y+1/2,z+1/2'
loop_
_atom_site_label
_atom_site_type_symbol
_atom_site_fract_x
_atom_site_fract_y
_atom_site_fract_z
Si1 Si 0.000 0.095 0.000
Si2 Si 0.155 0.403 0.653
Si3 Si 0.345 0.375 0.606
Sb1 Sb 0.191 0.122 0.440
Sb2 Sb 0.300 0.265 0.899
Sb3 Sb 0.484 0.045 0.756
P1 P 0.011 0.403 0.571
P2 P 0.145 0.103 0.086
P3 P 0.381 0.297 0.275
# E_form (uncorrected): 0.25 eV per atom
# excess energy over the best structure of this formula in the dataset: 168 meV/atom

7.
# Tc8H4Os PBE relaxed
data_Tc8H4Os
_chemical_formula_sum 'Tc16 H8 Os2'
_cell_length_a 13.477
_cell_length_b 2.814
_cell_length_c 9.350
_cell_angle_alpha 90.00
_cell_angle_beta 128.91
_cell_angle_gamma 90.00
_symmetry_space_group_name_H-M 'C 1 2/m 1'
_symmetry_Int_Tables_number 12
loop_
_symmetry_equiv_pos_as_xyz
'x,y,z'
'-x,-y,-z'
'-x,y,-z'
'x,-y,z'
'x+1/2,y+1/2,z'
'-x+1/2,-y+1/2,-z'
'-x+1/2,y+1/2,-z'
'x+1/2,-y+1/2,z'
loop_
_atom_site_label
_atom_site_type_symbol
_atom_site_fract_x
_atom_site_fract_y
_atom_site_fract_z
Tc1 Tc 0.037 0.000 0.240
Tc2 Tc 0.126 0.500 0.092
Tc3 Tc 0.162 0.500 0.822
Tc4 Tc 0.201 0.500 0.573
H1 H 0.150 0.000 0.966
H2 H 0.169 0.500 0.335
Os1 Os 0.000 0.000 0.500
# calculated total energy: -8.32 eV per atom

8.
# Er3CSe PBE relaxed
data_Er3CSe
_chemical_formula_sum 'Er6 C2 Se2'
_cell_length_a 3.743
_cell_length_b 6.181
_cell_length_c 8.992
_cell_angle_alpha 90.00
_cell_angle_beta 90.00
_cell_angle_gamma 90.00
_symmetry_space_group_name_H-M 'P m m n'
_symmetry_Int_Tables_number 59
loop_
_symmetry_equiv_pos_as_xyz
'x,y,z'
'-x,-y,-z'
'-x+1/2,-y+1/2,z'
'x+1/2,y+1/2,-z'
'x+1/2,-y,-z'
'-x+1/2,y,z'
'-x,y+1/2,-z'
'x,-y+1/2,z'
loop_
_atom_site_label
_atom_site_type_symbol
_atom_site_fract_x
_atom_site_fract_y
_atom_site_fract_z
Er1 Er 0.250 0.002 0.148
Er2 Er 0.250 0.750 0.587
C1 C 0.250 0.750 0.903
Se1 Se 0.250 0.250 0.660
# E_form (uncorrected): -0.74 eV per atom
# excess energy over the best structure of this formula in the dataset: 0 meV/atom

| no. | V (Å³ per cell) | calculated density (kg/m³) |
| --- | --- | --- |
| 1 | 78.2 | 10670 |
| 2 | 210.3 | 4275 |
| 3 | 93.0 | 11122 |
| 4 | 418.2 | 6502 |
| 5 | 196.0 | 5886 |
| 6 | 847.0 | 4254 |
| 7 | 276.0 | 11772 |
| 8 | 208.1 | 9462 |